Model 1:
Here is a relaxed NaPd3Au crystal from Alexandria via LeMat-Bulk. Energies are from PBE-GGA.

The space group is Pm-3m (No. 221) and the conventional cell measures 4.593, 4.593 and 4.593 Å, with angles of 90.00, 90.00 and 90.00 degrees. Symmetry generates all atoms from Na at (0.000, 0.000, 0.000), Pd at (0.000, 0.000, 0.500) and Au at (0.500, 0.500, 0.500).

The total magnetization is 0.0000 μB/atom. The value obtained for the density of states at the Fermi level is 0.390 states/eV/atom. The calculated volume comes out at 19.38 Å³/atom. The crystal system is cubic.



Model 2:
Here is a relaxed NaPd3Au crystal from Alexandria via LeMat-Bulk. Energies are from PBE-GGA.

The space group is Pm-3m (No. 221) and the conventional cell measures 5.050, 5.050 and 5.050 Å, with angles of 90.00, 90.00 and 90.00 degrees. Symmetry generates all atoms from Na at (0.000, 0.000, 0.000), Pd at (0.000, 0.500, 0.500) and Au at (0.500, 0.500, 0.500).

The total magnetization is 0.0000 μB/atom. The value obtained for the density of states at the Fermi level is 0.810 states/eV/atom. The calculated volume comes out at 25.76 Å³/atom. The crystal system is cubic.



Energetically preferred structure: model 2 | next structure: +32.1 kJ/mol of atoms



Model 1:
Here is a relaxed NaPd2Au3 crystal from Alexandria via LeMat-Bulk. Energies are from PBE-GGA.

The space group is P6/mmm (No. 191) and the conventional cell measures 5.5363, 5.5363 and 4.5502 Å, with angles of 90.00, 90.00 and 120.00 degrees. Symmetry generates all atoms from Na at (0.0000, 0.0000, 0.0000), Pd at (0.3333, 0.6667, 0.0000) and Au at (0.0000, 0.5000, 0.5000).

The total magnetization is 0.0000 μB/atom. The value obtained for the density of states at the Fermi level is 0.508 states/eV/atom. The calculated volume comes out at 20.13 Å³/atom. The crystal system is hexagonal.



Model 2:
Here is a relaxed NaPd2Au3 crystal from Alexandria via LeMat-Bulk. Energies are from PBE-GGA.

The space group is P6/mmm (No. 191) and the conventional cell measures 5.7639, 5.7639 and 4.3945 Å, with angles of 90.00, 90.00 and 120.00 degrees. Symmetry generates all atoms from Na at (0.0000, 0.0000, 0.0000), Pd at (0.3333, 0.6667, 0.5000) and Au at (0.0000, 0.5000, 0.0000).

The total magnetization is 0.0000 μB/atom. The value obtained for the density of states at the Fermi level is 0.531 states/eV/atom. The calculated volume comes out at 21.07 Å³/atom. The crystal system is hexagonal.



Energetically preferred structure: model 1 | next structure: +11.0 kJ/mol of atoms



Model 1:
Here is a relaxed NaTl2PdAu crystal from Alexandria via LeMat-Bulk. Energies are from PBE-GGA.

The space group is P4/mmm (No. 123) and the conventional cell measures 5.393, 5.393 and 5.284 Å, with angles of 90.00, 90.00 and 90.00 degrees. Symmetry generates all atoms from Na at (0.000, 0.000, 0.000), Tl at (0.000, 0.500, 0.500), Pd at (0.500, 0.500, 0.000) and Au at (0.000, 0.000, 0.500).

The total magnetization is 0.0000 μB/atom. The value obtained for the density of states at the Fermi level is 0.427 states/eV/atom. The calculated volume comes out at 30.74 Å³/atom. The crystal system is tetragonal.



Model 2:
Here is a relaxed NaTl2PdAu crystal from Alexandria via LeMat-Bulk. Energies are from PBE-GGA.

The space group is P4/mmm (No. 123) and the conventional cell measures 5.253, 5.253 and 5.347 Å, with angles of 90.00, 90.00 and 90.00 degrees. Symmetry generates all atoms from Na at (0.000, 0.000, 0.000), Tl at (0.000, 0.500, 0.500), Pd at (0.500, 0.500, 0.500) and Au at (0.500, 0.500, 0.000).

The total magnetization is 0.0000 μB/atom. The value obtained for the density of states at the Fermi level is 0.470 states/eV/atom. The calculated volume comes out at 29.51 Å³/atom. The crystal system is tetragonal.



Energetically preferred structure: model 2 | next structure: +33.1 kJ/mol of atoms